[1]
Below is a relaxed structure of Ta2BeHgPb, with properties calculated at the PBE-GGA level.

```
5
Lattice="-0.0806 -0.0558 5.2801 -3.6819 -2.2335 -0.0798 2.7390 -4.5151 -0.0059" Properties=species:S:1:pos:R:3 pbc="T T T"
Pb 0.0000 0.0000 0.0000
Ta 1.3695 -2.2576 -0.0030
Ta -0.0403 -0.0279 2.6400
Hg -0.5117 -3.4022 2.5971
Be -1.8409 -1.1167 -0.0399
```

Results
* space group: P4/mmm, No. 123
* formation enthalpy at 0 K: 1934 meV per atom


[2]
Below is a relaxed structure of YBeHgPb2, with properties calculated at the PBE-GGA level.

```
5
Lattice="-3.5482 -0.7782 3.3115 2.6601 -4.3162 1.8360 2.3857 2.8417 3.2240" Properties=species:S:1:pos:R:3 pbc="T T T"
Pb -1.7741 -0.3891 1.6558
Be 0.0000 0.0000 0.0000
Hg 0.7489 -1.1263 4.1857
Pb 1.1929 1.4209 1.6120
Y 1.3301 -2.1581 0.9180
```

Results
* space group: P4/mmm, No. 123
* formation enthalpy at 0 K: 111 meV per atom


[3]
Below is a relaxed structure of BeHgPd4, with properties calculated at the PBE-GGA level.

```
24
Lattice="-2.4287 0.5430 -1.5790 -3.1975 -5.6725 2.9672 -6.0632 10.1158 12.8047" Properties=species:S:1:pos:R:3 pbc="T T T"
Be -4.5326 -3.4015 1.6757
Pd -4.3241 4.8740 6.9517
Be -5.3841 3.5226 5.3666
Be -7.1568 8.3879 12.5172
Be -6.3053 1.4638 8.8263
Pd -8.4338 6.2271 13.7382
Pd -3.2475 3.0013 4.6519
Pd -1.0314 0.7599 0.4724
Hg -9.0953 4.5074 11.4135
Pd -6.6435 4.0261 10.2276
Pd -8.1977 7.0814 10.9182
Pd -6.8275 3.3393 7.5238
Pd -8.4418 1.9851 9.5410
Pd -4.8619 1.6471 6.6691
Pd -10.6580 4.2264 13.7204
Pd -5.0459 0.9603 3.9652
Pd -5.6578 7.8850 10.0386
Hg -4.9771 -1.0488 5.9193
Pd -3.2556 -1.2407 0.4547
Hg -2.5941 0.4790 2.7794
Pd -7.3653 0.1124 7.2412
Pd -6.0316 -2.8986 4.1543
Pd -3.4916 -2.0950 3.2746
Hg -6.7122 6.0351 8.2736
```

Results
* space group: Pnma, No. 62
* formation enthalpy at 0 K: -271 meV per atom


[4]
Below is a relaxed structure of Be3HgPd, with properties calculated at the PBE-GGA level.

```
5
Lattice="4.3664 0.0000 0.0000 0.0000 4.3664 0.0000 0.0000 0.0000 4.3664" Properties=species:S:1:pos:R:3 pbc="T T T"
Hg 0.0000 0.0000 0.0000
Pd 2.1832 2.1832 2.1832
Be 0.0000 2.1832 0.0000
Be 2.1832 0.0000 0.0000
Be 0.0000 0.0000 2.1832
```

Results
* space group: Pm-3m, No. 221
* formation enthalpy at 0 K: 936 meV per atom